! PBE-GGA InSi2Te, optimized geometry; values from VASP
&SYSTEM
  ibrav = 0, nat = 4, ntyp = 3
/
ATOMIC_SPECIES
Te 127.60 Te.upf
In 114.82 In.upf
Si 28.09 Si.upf
ATOMIC_POSITIONS crystal
Te 0.750 0.250 0.500
In 0.250 0.750 0.500
Si 0.509 0.509 0.000
Si 0.991 0.991 0.000
CELL_PARAMETERS angstrom
-2.791 4.178 2.505
0.953 -0.242 5.528
2.601 0.680 -4.929
! ΔE_f (raw)	0.537	eV per atom
! E_tot	-0.13393	Ha/atom
! polymorph energy (0 for the lowest one)	357.8	meV per atom
! volume	22.51	Å³ per atom